1.
This record from the Alexandria database describes a relaxed LiTl2Fe crystal. The functional is PBE.

Cell lengths 3.2638, 3.2638, 27.1518 Å; angles 90.00, 90.00, 120.00 degrees
Space group R-3m (No. 166, hexagonal axes)
Unique sites:
1 Li 0.0000 0.0000 0.0000 x3
2 Tl 0.0000 0.0000 0.2477 x6
3 Fe 0.0000 0.0000 0.5000 x3

Calculated values
Energy of formation ... 0.328 eV/atom

2.
This record from the Alexandria database describes a relaxed Li2TlFe crystal. The functional is PBE.

Cell lengths 3.0879, 3.0879, 27.4433 Å; angles 90.00, 90.00, 120.00 degrees
Space group R-3m (No. 166, hexagonal axes)
Unique sites:
1 Li 0.0000 0.0000 0.2441 x6
2 Tl 0.0000 0.0000 0.0000 x3
3 Fe 0.0000 0.0000 0.5000 x3

Calculated values
Energy of formation ... 0.367 eV/atom

3.
This record from the Alexandria database describes a relaxed LiTl2Fe crystal. The functional is PBE.

Cell lengths 3.221, 4.644, 10.912 Å; angles 90.00, 90.00, 90.00 degrees
Space group Imm2 (No. 44)
Unique sites:
1 Li 0.000 0.000 0.000 x2
2 Tl 0.000 0.000 0.568 x2
3 Tl 0.000 0.500 0.795 x2
4 Fe 0.000 0.500 0.290 x2

Calculated values
Energy of formation ... 0.292 eV/atom